Ho5TmThSc2 | PBE | relaxed

E_tot = -5.099 eV per atom
space-group type = Cmc2_1, No. 36
energy of formation from the pure elements = 150 kJ/mol of formula units

Geometry as POSCAR:
```
Ho5TmThSc2
1.0
2.787 -10.583 0.000
2.787 10.583 0.000
0.000 0.000 9.350
Ho Tm Th Sc
10 2 2 4
direct
0.010 0.990 0.500
0.266 0.734 0.180
0.305 0.695 0.798
0.390 0.610 0.469
0.469 0.531 0.767
0.531 0.469 0.267
0.610 0.390 0.969
0.695 0.305 0.298
0.734 0.266 0.680
0.990 0.010 0.000
0.403 0.597 0.091
0.597 0.403 0.591
0.184 0.816 0.491
0.816 0.184 0.991
0.113 0.887 0.191
0.135 0.865 0.806
0.865 0.135 0.306
0.887 0.113 0.691
```

HoTmTh2Sc5 | PBE | relaxed

E_tot = -5.817 eV per atom
space-group type = I4/mcm, No. 140
energy of formation from the pure elements = 308 kJ/mol of formula units

Geometry as POSCAR:
```
HoTmTh2Sc5
1.0
-4.194 4.194 7.232
4.194 -4.194 7.232
4.194 4.194 -7.232
Ho Tm Th Sc
2 2 4 10
direct
0.250 0.750 0.500
0.750 0.250 0.500
0.250 0.250 0.000
0.750 0.750 0.000
0.124 0.624 0.748
0.376 0.124 0.500
0.624 0.876 0.500
0.876 0.376 0.252
0.000 0.000 0.000
0.069 0.149 0.500
0.149 0.649 0.080
0.351 0.431 0.500
0.431 0.931 0.080
0.500 0.500 0.000
0.569 0.069 0.920
0.649 0.569 0.500
0.851 0.351 0.920
0.931 0.851 0.500
```

Ho3Tm6ThSc2 | PBE | relaxed

E_tot = -5.018 eV per atom
space-group type = C2/m, No. 12
energy of formation from the pure elements = 42 kJ/mol of formula units

Geometry as POSCAR:
```
Ho3Tm6ThSc2
1.0
2.995 -5.189 0.000
2.995 5.189 0.000
-2.000 0.000 11.377
Ho Tm Th Sc
3 6 1 2
direct
0.000 0.000 0.000
0.332 0.668 0.000
0.668 0.332 0.000
0.085 0.418 0.254
0.250 0.250 0.746
0.418 0.085 0.254
0.582 0.915 0.746
0.750 0.750 0.254
0.915 0.582 0.746
0.500 0.500 0.500
0.167 0.833 0.500
0.833 0.167 0.500
```

Ho3Tm6Th2Sc | PBE | relaxed

E_tot = -5.120 eV per atom
space-group type = C2/m, No. 12
energy of formation from the pure elements = 28 kJ/mol of formula units

Geometry as POSCAR:
```
Ho3Tm6Th2Sc
1.0
3.023 -5.235 0.000
3.023 5.235 0.000
-2.020 0.000 11.419
Ho Tm Th Sc
3 6 2 1
direct
0.000 0.000 0.000
0.334 0.666 0.000
0.666 0.334 0.000
0.085 0.418 0.253
0.249 0.249 0.747
0.418 0.085 0.253
0.582 0.915 0.747
0.751 0.751 0.253
0.915 0.582 0.747
0.167 0.833 0.500
0.833 0.167 0.500
0.500 0.500 0.500
```

Ho6Tm3ThSc2 | PBE | relaxed

E_tot = -5.040 eV per atom
space-group type = C2/m, No. 12
energy of formation from the pure elements = 46 kJ/mol of formula units

Geometry as POSCAR:
```
Ho6Tm3ThSc2
1.0
3.005 -5.203 0.000
3.005 5.203 0.000
-2.002 0.000 11.407
Ho Tm Th Sc
6 3 1 2
direct
0.084 0.417 0.753
0.250 0.250 0.247
0.417 0.084 0.753
0.583 0.916 0.247
0.750 0.750 0.753
0.916 0.583 0.247
0.000 0.000 0.500
0.332 0.668 0.500
0.668 0.332 0.500
0.500 0.500 0.000
0.167 0.833 0.000
0.833 0.167 0.000
```

HoTmThSc | PBE | relaxed

E above lowest polymorph = 0.0000 eV/atom
E_tot = -5.681 eV per atom
space-group type = R3m, No. 160
energy of formation from the pure elements = 7 kJ/mol of formula units

Geometry as POSCAR:
```
HoTmThSc
1.0
1.759 1.016 11.008
-1.759 1.016 11.008
0.000 -2.031 11.008
Ho Tm Th Sc
1 1 1 1
direct
0.000 0.000 0.000
0.247 0.247 0.247
0.418 0.418 0.418
0.833 0.833 0.833
```

> What is the formula in the fourth record?

Ho3Tm6Th2Sc

> The lowest energy of formation from the pure elements belongs to which entry?

HoTmThSc